Entry 1:
First-principles (PBE-GGA) data for a geometry-optimized Ce4Tl5Hg structure, as listed in Alexandria.

Summary:
Formation energy from the elements ... 0.8 eV/f.u.

a = 6.6628 Å, b = 11.2980 Å, c = 8.2240 Å
α = 90.00°, β = 90.00°, γ = 90.00°
Space group Pmmn (No. 59, origin choice 2)
Symmetry-distinct sites (fractional):
1 Ce 0.0273 0.2500 0.1676 [4 per cell]
2 Ce 0.2500 0.5865 0.5093 [4 per cell]
3 Tl 0.0197 0.0370 0.8226 [8 per cell]
4 Tl 0.2500 0.7500 0.1674 [2 per cell]
5 Hg 0.2500 0.2500 0.5245 [2 per cell]



Entry 2:
First-principles (PBE-GGA) data for a geometry-optimized Ce6PtSe5 structure, as listed in Alexandria.

Summary:
Formation energy from raw total energies ... -1.663 eV per atom

a = 7.2974 Å, b = 12.6095 Å, c = 7.2753 Å
α = 90.00°, β = 109.54°, γ = 90.00°
Space group C2/m (No. 12)
Symmetry-distinct sites (fractional):
1 Ce 0.2448 0.0000 0.2509 [4 per cell]
2 Ce 0.2452 0.1638 0.7452 [8 per cell]
3 Pt 0.0000 0.0000 0.5000 [2 per cell]
4 Se 0.0000 0.1706 0.0000 [4 per cell]
5 Se 0.0000 0.3341 0.5000 [4 per cell]
6 Se 0.0000 0.5000 0.0000 [2 per cell]